# 1
Compound: PuThTlAu
Source: the Alexandria database
Functional: PBE-GGA
Structure: optimized geometry

The structure in POSCAR format:
```
PuThTlAu
1.0
0.0000 3.7800 3.7800
3.7800 0.0000 3.7800
3.7800 3.7800 0.0000
Pu Th Tl Au
1 1 1 1
Direct
0.0000 0.0000 0.0000
0.5000 0.5000 0.5000
0.2500 0.2500 0.2500
0.7500 0.7500 0.7500
```

## Properties
As for the formation energy: -0.207 eV/atom. The energy comes out at -7.06 eV/atom. The calculation puts the total magnetization at 6.52 μB per formula unit.


# 2
Compound: YEr2ScAs4
Source: the Alexandria database
Functional: PBE-GGA
Structure: optimized geometry

The structure in POSCAR format:
```
YEr2ScAs4
1.0
7.0046 0.0000 0.0000
0.0000 4.0488 0.0000
-2.3358 0.0000 6.6061
Y Er Sc As
1 2 1 4
Direct
0.0000 0.0000 0.0000
0.0000 0.5000 0.5000
0.5000 0.0000 0.5000
0.5000 0.5000 0.0000
0.2560 0.5000 0.2479
0.2591 0.0000 0.7571
0.7409 0.0000 0.2429
0.7440 0.5000 0.7521
```

## Properties
As for the formation energy: -1.478 eV/atom. The energy comes out at -6.54 eV/atom. The calculation puts the total magnetization at 0.00 μB per formula unit.


# 3
Compound: In2Ag2Hg
Source: the Alexandria database
Functional: PBE-GGA
Structure: optimized geometry

The structure in POSCAR format:
```
In2Ag2Hg
1.0
5.1175 -3.0849 0.0000
5.1175 3.0849 0.0000
-2.7142 0.0000 7.0668
In Ag Hg
4 4 2
Direct
0.0645 0.2913 0.1502
0.2913 0.0645 0.6502
0.7087 0.9355 0.3498
0.9355 0.7087 0.8498
0.2273 0.5562 0.5531
0.4438 0.7727 0.9469
0.5562 0.2273 0.0531
0.7727 0.4438 0.4469
0.2510 0.7490 0.2500
0.7490 0.2510 0.7500
```

## Properties
As for the formation energy: 0.031 eV/atom. The energy comes out at -2.27 eV/atom. The calculation puts the total magnetization at 0.00 μB per formula unit.


# 4
Compound: InRuCl2
Source: the Alexandria database
Functional: PBE-GGA
Structure: optimized geometry

The structure in POSCAR format:
```
InRuCl2
1.0
1.7822 1.0289 9.1456
-1.7822 1.0289 9.1456
0.0000 -2.0579 9.1456
In Ru Cl
1 1 2
Direct
0.0000 0.0000 0.0000
0.5000 0.5000 0.5000
0.1205 0.1205 0.1205
0.8795 0.8795 0.8795
```

## Properties
The calculation puts the formation energy (no corrections) at -0.206 eV per formula unit. The energy comes out at -3.98 eV/atom. The calculation puts the total magnetization at 0.00 μB per formula unit.


# 5
Compound: Co2WCl
Source: the Alexandria database
Functional: PBE-GGA
Structure: optimized geometry

The structure in POSCAR format:
```
Co2WCl
1.0
2.8066 0.0000 0.0000
0.0000 2.8066 0.0000
0.0000 0.0000 6.9442
Co W Cl
2 1 1
Direct
0.0000 0.0000 0.2462
0.0000 0.0000 0.7538
0.5000 0.5000 0.0000
0.5000 0.5000 0.5000
```

## Properties
The calculation puts the formation energy (no corrections) at 1.499 eV per formula unit. The energy comes out at -6.88 eV/atom. The calculation puts the total magnetization at 1.70 μB per formula unit.


# 6
Compound: K2HgRu
Source: the Alexandria database
Functional: PBE-GGA
Structure: optimized geometry

The structure in POSCAR format:
```
K2HgRu
1.0
3.2573 0.0000 0.0000
0.0000 5.3666 0.0000
-0.0292 0.0000 6.0501
K Hg Ru
2 1 1
Direct
0.0056 0.0000 0.2581
0.9944 0.0000 0.7419
0.5000 0.5000 0.0000
0.5000 0.5000 0.5000
```

## Properties
As for the formation energy: 0.786 eV/atom. The energy comes out at -2.16 eV/atom. The calculation puts the total magnetization at 1.27 μB per formula unit.


# 7
Compound: Sr2MgBPd
Source: the Alexandria database
Functional: PBE-GGA
Structure: optimized geometry

The structure in POSCAR format:
```
Sr2MgBPd
1.0
5.5086 0.0000 0.0000
0.0000 5.5086 0.0000
0.0000 0.0000 4.4741
Sr Mg B Pd
2 1 1 1
Direct
0.0000 0.5000 0.0000
0.5000 0.0000 0.0000
0.0000 0.0000 0.5000
0.0000 0.0000 0.0000
0.5000 0.5000 0.5000
```

## Properties
As for the formation energy: 0.150 eV/atom. The energy comes out at -3.22 eV/atom. The calculation puts the total magnetization at 0.00 μB per formula unit.


# 8
Compound: PuNbS3
Source: the Alexandria database
Functional: PBE-GGA
Structure: optimized geometry

The structure in POSCAR format:
```
PuNbS3
1.0
2.4790 -7.1570 0.0000
2.4790 7.1570 0.0000
0.0000 0.0000 5.3086
Pu Nb S
2 2 6
Direct
0.1128 0.8872 0.0000
0.8872 0.1128 0.0000
0.3357 0.6643 0.5000
0.6643 0.3357 0.5000
0.1550 0.8450 0.5000
0.3070 0.6930 0.0000
0.5000 0.5000 0.2631
0.5000 0.5000 0.7369
0.6930 0.3070 0.0000
0.8450 0.1550 0.5000
```

## Properties
The calculation puts the formation energy (no corrections) at -5.211 eV per formula unit. The energy comes out at -8.40 eV/atom. The calculation puts the total magnetization at 5.45 μB per formula unit.


# 9
Compound: SnHOs2
Source: the Alexandria database
Functional: PBE-GGA
Structure: optimized geometry

The structure in POSCAR format:
```
SnHOs2
1.0
2.9457 0.0000 0.0000
0.0000 3.0427 0.0000
0.0000 0.0000 6.2081
Sn H Os
1 1 2
Direct
0.0000 0.0000 0.0000
0.5000 0.5000 0.7649
0.0000 0.5000 0.3552
0.5000 0.0000 0.6198
```

## Properties
The energy comes out at -7.09 eV/atom. The calculation puts the total magnetization at 0.00 μB per formula unit.


# 10
Compound: SrPt2Rh2
Source: the Alexandria database
Functional: PBE-GGA
Structure: optimized geometry

The structure in POSCAR format:
```
SrPt2Rh2
1.0
-2.2515 2.2515 4.9930
2.2515 -2.2515 4.9930
2.2515 2.2515 -4.9930
Sr Pt Rh
1 2 2
Direct
0.0000 0.0000 0.0000
0.2500 0.7500 0.5000
0.7500 0.2500 0.5000
0.3804 0.3804 0.0000
0.6196 0.6196 0.0000
```

## Properties
As for the formation energy: -0.131 eV/atom. The energy comes out at -5.82 eV/atom. The calculation puts the total magnetization at 0.00 μB per formula unit.


# 11
Compound: Y2HfRh
Source: the Alexandria database
Functional: PBE-GGA
Structure: optimized geometry

The structure in POSCAR format:
```
Y2HfRh
1.0
0.0000 3.5942 3.5942
3.5942 0.0000 3.5942
3.5942 3.5942 0.0000
Y Hf Rh
2 1 1
Direct
0.2500 0.2500 0.2500
0.7500 0.7500 0.7500
0.0000 0.0000 0.0000
0.5000 0.5000 0.5000
```

## Properties
As for the formation energy: 0.031 eV/atom. The energy comes out at -7.53 eV/atom. The calculation puts the total magnetization at 1.71 μB per formula unit.


# 12
Compound: Nd2SbRh2
Source: the Alexandria database
Functional: PBE-GGA
Structure: optimized geometry

The structure in POSCAR format:
```
Nd2SbRh2
1.0
5.1072 -2.8220 0.0000
5.1072 2.8220 0.0000
-2.1511 0.0000 7.9108
Nd Sb Rh
4 2 4
Direct
0.0018 0.6997 0.8487
0.3003 0.9982 0.6513
0.6997 0.0018 0.3487
0.9982 0.3003 0.1513
0.3369 0.6631 0.2500
0.6631 0.3369 0.7500
0.2322 0.4970 0.5004
0.4970 0.2322 0.0004
0.5030 0.7678 0.9996
0.7678 0.5030 0.4996
```

## Properties
The calculation puts the formation energy (no corrections) at -4.269 eV per formula unit. The energy comes out at -6.53 eV/atom. The calculation puts the total magnetization at 0.00 μB per formula unit.


# 13
Compound: ZnIn4Ag
Source: the Alexandria database
Functional: PBE-GGA
Structure: optimized geometry

The structure in POSCAR format:
```
ZnIn4Ag
1.0
0.0000 4.3006 4.3006
4.3006 0.0000 4.3006
4.3006 4.3006 0.0000
Zn In Ag
1 4 1
Direct
0.0000 0.0000 0.0000
0.3751 0.3751 0.3751
0.3751 0.3751 0.8747
0.3751 0.8747 0.3751
0.8747 0.3751 0.3751
0.7500 0.7500 0.7500
```

## Properties
As for the formation energy: 0.321 eV/atom. The energy comes out at -2.19 eV/atom. The calculation puts the total magnetization at 0.00 μB per formula unit.